A geometry-optimized CrHNF2 structure. Source: Alexandria, functional PBE with a Hubbard U.

Values from the calculation:
Energy (eV/cell): -25.450

Cell: 3.9091 3.9091 3.9042 Å, 90.00 90.00 90.00°
With the nearest neighbours (Å) after each atom.
Space group P4/mmm (No. 123)
One atom of each set of equivalent atoms:
Cr 0.0000 0.0000 0.0000 x1  2 N 1.95, 4 F 1.95
H 0.5000 0.5000 0.5000 x1  8 F 2.76, 4 N 2.76
N 0.0000 0.0000 0.5000 x1  2 Cr 1.95
F 0.0000 0.5000 0.0000 x2  2 Cr 1.95